Entry 1:
An optimized crystal structure of IClO, computed with PBE.

a b c (Å): 7.8434 4.8556 10.1097
angles (deg): 90.00 119.61 90.00
Space group P2_1/c (No. 14)
Inequivalent atoms, fractional coordinates:
1 I 0.1909 0.0645 0.3590 (multiplicity 4)
2 Cl 0.4010 0.7376 0.5762 (multiplicity 4)
3 O 0.0409 0.1418 0.6781 (multiplicity 4)

Output
Uncorrected formation energy: -151 meV/atom
Total moment: 0.0 μB per formula unit
Distance to the lowest polymorph of the same formula: 0.000 eV per atom

Entry 2:
An optimized crystal structure of Tm2Ni4Ge3Au, computed with PBE.

a b c (Å): 3.9176 3.9176 10.5930
angles (deg): 90.00 90.00 90.00
Space group P-4m2 (No. 115)
Inequivalent atoms, fractional coordinates:
1 Tm 0.0000 0.5000 0.2477 (multiplicity 2)
2 Ni 0.0000 0.0000 0.0000 (multiplicity 1)
3 Ni 0.0000 0.5000 0.6560 (multiplicity 2)
4 Ni 0.5000 0.5000 0.0000 (multiplicity 1)
5 Ge 0.0000 0.5000 0.8725 (multiplicity 2)
6 Ge 0.5000 0.5000 0.5000 (multiplicity 1)
7 Au 0.0000 0.0000 0.5000 (multiplicity 1)

Output
Fermi-level density of states: 6.99 states/eV/f.u.
Total moment: 0.0 μB per formula unit
Calculated formation energy: -560 kJ/mol of formula units

Entry 3:
An optimized crystal structure of VGa2Os2, computed with PBE.

a b c (Å): 7.0740 7.0740 2.9481
angles (deg): 90.00 90.00 90.00
Space group P4/mbm (No. 127)
Inequivalent atoms, fractional coordinates:
1 V 0.0000 0.0000 0.0000 (multiplicity 2)
2 Ga 0.1325 0.3675 0.0000 (multiplicity 4)
3 Os 0.1672 0.6672 0.5000 (multiplicity 4)

Output
Fermi-level density of states: 4.40 states/eV/f.u.
Total moment: 1.7 μB per formula unit
Calculated formation energy: 79 kJ/mol of formula units
Distance to the lowest polymorph of the same formula: 0.000 eV per atom

Entry 4:
An optimized crystal structure of Rb2TbHgI6, computed with PBE.

a b c (Å): 8.8009 8.8747 8.9756
angles (deg): 115.39 119.13 93.76
Space group P1 (No. 1)
Inequivalent atoms, fractional coordinates:
1 Rb 0.0000 0.0000 0.0000 (multiplicity 1)
2 Rb 0.4440 0.5372 0.8939 (multiplicity 1)
3 Tb 0.2167 0.8804 0.5519 (multiplicity 1)
4 Hg 0.5495 0.3665 0.3010 (multiplicity 1)
5 I 0.0300 0.6301 0.6121 (multiplicity 1)
6 I 0.0592 0.1498 0.6983 (multiplicity 1)
7 I 0.4180 0.1243 0.4981 (multiplicity 1)
8 I 0.5075 0.6808 0.5788 (multiplicity 1)
9 I 0.5625 0.0492 0.9992 (multiplicity 1)
10 I 0.9460 0.6440 0.1091 (multiplicity 1)

Output
Uncorrected formation energy: -1146 meV/atom
Fermi-level density of states: 2.87 states/eV/f.u.
Total moment: 0.0 μB per formula unit

Entry 5:
An optimized crystal structure of Ce2HfTi, computed with PBE.

a b c (Å): 4.3644 4.3644 4.9181
angles (deg): 90.00 90.00 90.00
Space group P4/mmm (No. 123)
Inequivalent atoms, fractional coordinates:
1 Ce 0.0000 0.5000 0.0000 (multiplicity 2)
2 Hf 0.0000 0.0000 0.5000 (multiplicity 1)
3 Ti 0.5000 0.5000 0.5000 (multiplicity 1)

Output
Fermi-level density of states: 9.73 states/eV/f.u.
Total moment: 0.0 μB per formula unit
Calculated formation energy: 73 kJ/mol of formula units
Distance to the lowest polymorph of the same formula: 0.004 eV per atom

Entry 6:
An optimized crystal structure of PmSm9Th2, computed with PBE.

a b c (Å): 5.1150 5.1150 15.3556
angles (deg): 90.00 90.00 90.00
Space group P4/mmm (No. 123)
Inequivalent atoms, fractional coordinates:
1 Pm 0.0000 0.0000 0.0000 (multiplicity 1)
2 Sm 0.0000 0.5000 0.1699 (multiplicity 4)
3 Sm 0.0000 0.5000 0.5000 (multiplicity 2)
4 Sm 0.5000 0.5000 0.0000 (multiplicity 1)
5 Sm 0.5000 0.5000 0.3337 (multiplicity 2)
6 Th 0.0000 0.0000 0.3341 (multiplicity 2)

Output
Fermi-level density of states: 15.38 states/eV/f.u.
Total moment: 0.0 μB per formula unit
Calculated formation energy: 44 kJ/mol of formula units

Entry 7:
An optimized crystal structure of Ac2Pr2Zn3, computed with PBE.

a b c (Å): 9.4743 9.4743 9.4743
angles (deg): 90.00 90.00 90.00
Space group I2_13 (No. 199)
Inequivalent atoms, fractional coordinates:
1 Ac 0.0738 0.0738 0.0738 (multiplicity 8)
2 Pr 0.1776 0.3224 0.6776 (multiplicity 8)
3 Zn 0.0000 0.2500 0.3818 (multiplicity 12)

Output
Fermi-level density of states: 9.68 states/eV/f.u.
Total moment: 0.0 μB per formula unit
Calculated formation energy: -66 kJ/mol of formula units

Entry 8:
An optimized crystal structure of GdHoTlCd, computed with PBE.

a b c (Å): 7.5478 7.5478 7.5478
angles (deg): 90.00 90.00 90.00
Space group F-43m (No. 216)
Inequivalent atoms, fractional coordinates:
1 Gd 0.0000 0.0000 0.0000 (multiplicity 4)
2 Ho 0.0000 0.0000 0.5000 (multiplicity 4)
3 Tl 0.2500 0.2500 0.7500 (multiplicity 4)
4 Cd 0.2500 0.2500 0.2500 (multiplicity 4)

Output
Fermi-level density of states: 4.10 states/eV/f.u.
Total moment: 7.9 μB per formula unit
Calculated formation energy: -138 kJ/mol of formula units

Entry 9:
An optimized crystal structure of BaNa4Ag, computed with PBE.

a b c (Å): 9.3889 9.3889 9.3889
angles (deg): 90.00 90.00 90.00
Space group F-43m (No. 216)
Inequivalent atoms, fractional coordinates:
1 Ba 0.0000 0.0000 0.0000 (multiplicity 4)
2 Na 0.1229 0.1229 0.3771 (multiplicity 16)
3 Ag 0.2500 0.2500 0.7500 (multiplicity 4)

Output
Fermi-level density of states: 5.10 states/eV/f.u.
Total moment: 0.8 μB per formula unit
Calculated formation energy: 60 kJ/mol of formula units

Entry 10:
An optimized crystal structure of FeHgAs2, computed with PBE.

a b c (Å): 5.6088 7.4853 3.5716
angles (deg): 90.00 90.00 90.00
Space group Cmmm (No. 65)
Inequivalent atoms, fractional coordinates:
1 Fe 0.0000 0.0000 0.0000 (multiplicity 2)
2 Hg 0.0000 0.5000 0.0000 (multiplicity 2)
3 As 0.2500 0.2500 0.5000 (multiplicity 4)

Output
Fermi-level density of states: 3.48 states/eV/f.u.
Total moment: 2.7 μB per formula unit
Calculated formation energy: 200 kJ/mol of formula units

Entry 11:
An optimized crystal structure of KLa2Tl, computed with PBE.

a b c (Å): 3.8815 3.8815 10.5129
angles (deg): 90.00 90.00 90.00
Space group P4mm (No. 99)
Inequivalent atoms, fractional coordinates:
1 K 0.0000 0.0000 0.0000 (multiplicity 1)
2 La 0.0000 0.0000 0.5667 (multiplicity 1)
3 La 0.5000 0.5000 0.3427 (multiplicity 1)
4 Tl 0.5000 0.5000 0.7567 (multiplicity 1)

Output
Fermi-level density of states: 4.53 states/eV/f.u.
Total moment: 0.0 μB per formula unit
Calculated formation energy: -6 kJ/mol of formula units
Distance to the lowest polymorph of the same formula: 0.000 eV per atom

Entry 12:
An optimized crystal structure of La3Pm8Nd4, computed with PBE.

a b c (Å): 13.7277 13.0956 6.9805
angles (deg): 90.00 120.45 90.00
Space group C2/m (No. 12)
Inequivalent atoms, fractional coordinates:
1 La 0.0000 0.0000 0.0000 (multiplicity 2)
2 La 0.2500 0.2500 0.5000 (multiplicity 4)
3 Pm 0.0000 0.1449 0.5000 (multiplicity 4)
4 Pm 0.0000 0.2409 0.0000 (multiplicity 4)
5 Pm 0.2318 0.0000 0.4910 (multiplicity 4)
6 Pm 0.2340 0.0000 0.9654 (multiplicity 4)
7 Nd 0.0000 0.5000 0.0000 (multiplicity 2)
8 Nd 0.0000 0.5000 0.5000 (multiplicity 2)
9 Nd 0.2500 0.2500 0.0000 (multiplicity 4)

Output
Fermi-level density of states: 27.85 states/eV/f.u.
Total moment: 0.0 μB per formula unit
Calculated formation energy: 466 kJ/mol of formula units

- Which value of total moment does entry 11 give?
  0.0 μB per formula unit